This record from the Alexandria database describes a crystal of AgSnAu3 relaxed with PBEsol. The functional is SCAN.

```
AgSnAu3
1.0
-4.6688 1.8687 0.5227
-1.9213 -4.2610 -1.9275
-0.2719 -1.9785 4.6448
Au Sn Ag
3 1 1
Cartesian
-0.9606 -2.1305 -0.9637
-0.1360 -0.9892 2.3224
-2.3344 0.9344 0.2613
0.0000 0.0000 0.0000
-3.4310 -2.1854 1.6200
```

## Properties
* calculated total energy: -271.85 eV/cell
* energy above the most stable polymorph in this dataset: 0.0 meV/atom
* DFT formation energy: 2.908 eV per formula unit


This record from the Alexandria database describes a crystal of AgSnAu3 relaxed with PBEsol. The functional is SCAN.

```
AgSnAu3
1.0
-0.7962 -1.4078 4.6889
4.7090 -1.5195 0.3434
1.3390 4.5067 1.5805
Au Sn Ag
3 1 1
Cartesian
2.3545 -0.7598 0.1717
0.6695 2.2534 0.7902
-0.3981 -0.7039 2.3444
2.6259 0.7897 3.3064
0.0000 0.0000 0.0000
```

## Properties
* calculated total energy: -271.55 eV/cell
* energy above the most stable polymorph in this dataset: 60.0 meV/atom
* DFT formation energy: 3.208 eV per formula unit


This record from the Alexandria database describes a crystal of SrAgAu4 relaxed with PBEsol. The functional is SCAN.

```
SrAgAu4
1.0
-3.9454 -0.9910 -3.7297
-4.4995 -2.8555 1.4351
-4.8773 2.5519 0.3980
Sr Au Ag
1 4 1
Cartesian
-9.9916 -0.9710 -1.4224
-4.9880 -0.4847 -0.7101
-7.4381 0.7973 -0.5102
-6.9700 -0.9826 -2.5837
-7.2483 -1.9192 0.0108
0.0000 0.0000 0.0000
```

## Properties
* calculated total energy: -333.20 eV/cell
* DFT formation energy: -2.927 eV per formula unit


This record from the Alexandria database describes a crystal of SrAg2Au relaxed with PBEsol. The functional is SCAN.

```
SrAg2Au
1.0
3.6036 0.0000 0.0000
0.0000 3.6016 0.0000
0.0000 0.0000 6.6505
Ag Au Sr
2 1 1
Cartesian
0.0000 0.0000 0.3476
1.8018 1.8008 1.6259
0.0000 0.0000 3.0810
1.8018 1.8008 4.9212
```

## Properties
* calculated total energy: -155.41 eV/cell
* DFT formation energy: -1.245 eV per formula unit


This record from the Alexandria database describes a crystal of Sr2AgAu relaxed with PBEsol. The functional is SCAN.

```
Sr2AgAu
1.0
-0.4534 4.1089 1.2004
-3.6547 -1.1750 2.6414
3.7726 -2.9767 3.8957
Sr Au Ag
2 1 1
Cartesian
1.3811 0.5735 6.2765
1.8731 -0.4872 2.3750
-0.6513 1.1021 3.6996
0.1540 1.9554 1.0830
```

## Properties
* calculated total energy: -147.64 eV/cell
* DFT formation energy: -2.561 eV per formula unit


This record from the Alexandria database describes a crystal of SrAg4Au relaxed with PBEsol. The functional is SCAN.

```
SrAg4Au
1.0
-2.0002 -0.3940 5.1204
1.3870 -4.2836 3.1783
3.3336 0.7432 4.3255
Sr Au Ag
1 1 4
Cartesian
0.0000 0.0000 0.0000
2.0403 -2.9508 9.4681
1.0218 -1.4777 4.7416
2.6806 -1.1079 6.8940
0.0265 -1.6738 7.2895
1.7119 -3.6093 6.3231
```

## Properties
* calculated total energy: -218.30 eV/cell
* DFT formation energy: -1.404 eV per formula unit


This record from the Alexandria database describes a crystal of SrAg2Au relaxed with PBEsol. The functional is SCAN.

```
SrAg2Au
1.0
4.9318 0.0000 0.0000
2.4659 4.2710 0.0000
2.4659 1.4237 4.0268
Ag Au Sr
2 1 1
Cartesian
2.4659 1.4237 1.0067
7.3977 4.2710 3.0201
0.0000 0.0000 0.0000
4.9318 2.8474 2.0134
```

## Properties
* calculated total energy: -155.15 eV/cell
* DFT formation energy: -0.983 eV per formula unit


This record from the Alexandria database describes a crystal of Sr2AgAu relaxed with PBEsol. The functional is SCAN.

```
Sr2AgAu
1.0
-2.2508 -1.6372 2.5383
4.3073 -1.9575 2.5568
0.2078 4.4302 3.0417
Sr Au Ag
2 1 1
Cartesian
-1.0215 1.3965 2.7900
1.0283 -1.7974 2.5476
2.2576 1.2363 2.7992
0.0000 0.0000 0.0000
```

## Properties
* calculated total energy: -147.37 eV/cell
* DFT formation energy: -2.297 eV per formula unit


This record from the Alexandria database describes a crystal of Sr2AgAu relaxed with PBEsol. The functional is SCAN.

```
Sr2AgAu
1.0
-2.5606 -0.7653 3.6264
3.0881 -2.8779 1.5731
2.1701 5.8357 -0.0341
Ag Au Sr
1 1 2
Cartesian
0.2638 -1.8216 2.5998
2.7610 0.5681 2.0694
0.0000 0.0000 0.0000
-0.0633 1.6244 3.0960
```

## Properties
* calculated total energy: -146.59 eV/cell
* DFT formation energy: -1.519 eV per formula unit


This record from the Alexandria database describes a crystal of SrAg2Au relaxed with PBEsol. The functional is SCAN.

```
SrAg2Au
1.0
-4.4507 1.3585 0.1265
-3.1360 -2.0401 -2.7702
-3.4686 -3.6390 2.6951
Sr Au Ag
1 1 2
Cartesian
-2.7658 -1.0874 0.0204
-5.6493 -2.6019 0.4886
-3.3427 -3.1820 2.2161
-8.2918 -3.2416 0.0398
```

## Properties
* calculated total energy: -155.80 eV/cell
* DFT formation energy: -1.633 eV per formula unit


This record from the Alexandria database describes a crystal of Ta3AgAu relaxed with PBEsol. The functional is SCAN.

```
Ta3AgAu
1.0
-1.6783 4.1225 1.9811
-2.2444 1.0964 -4.1830
-3.9853 -2.3536 1.5214
Au Ag Ta
1 1 3
Cartesian
0.0000 0.0000 0.0000
-3.9540 1.4327 -0.3402
-1.1222 0.5482 -2.0915
-1.9926 -1.1768 0.7607
-0.8392 2.0613 0.9905
```

## Properties
* calculated total energy: -291.38 eV/cell
* DFT formation energy: 8.898 eV per formula unit


This record from the Alexandria database describes a crystal of TaAg4Au relaxed with PBEsol. The functional is SCAN.

```
TaAg4Au
1.0
-2.7293 4.1476 1.6779
-2.5832 -0.2311 4.5542
1.6969 2.7619 4.1182
Ag Au Ta
4 1 1
Cartesian
-1.3555 2.5037 3.8803
-0.5064 3.8858 5.9411
-2.7213 4.5792 4.7199
-2.6482 2.3881 6.1593
-2.7118 5.0088 7.7628
0.0000 0.0000 0.0000
```

## Properties
* calculated total energy: -258.32 eV/cell
* DFT formation energy: 2.891 eV per formula unit


In the order shown, the computed N(E_F) values come out to 1.37 1.43 1.66 1.30 2.32 2.07 1.38 2.85 3.10 1.06 7.09 1.63 states/eV per cell.
In the order shown, the computed magnetization values come out to 0.0 0.0 0.0 0.0 0.0 0.0 0.0 0.0 0.0 0.0 0.0 0.0 μB per formula unit.